Entry 1:
Here is a relaxed SrMgCd2 crystal from the Alexandria database. Energies are from GGA-PBE.

```
data_SrMgCd2
_chemical_formula_sum 'Sr1 Mg1 Cd2'
_cell_length_a 3.735
_cell_length_b 4.835
_cell_length_c 6.600
_cell_angle_alpha 90.00
_cell_angle_beta 106.35
_cell_angle_gamma 90.00
_symmetry_space_group_name_H-M 'P 1 m 1'
_symmetry_Int_Tables_number 6
_symmetry_space_group_name_Hall 'P -2y'
loop_
_atom_site_label
_atom_site_fract_x
_atom_site_fract_y
_atom_site_fract_z
_atom_site_occupancy
Sr1 0.000 0.000 0.000 1
Mg1 0.316 0.500 0.634 1
Cd1 0.610 0.500 0.221 1
Cd2 0.740 0.000 0.481 1
```

The magnetic moment is 0.0 μB per formula unit. The calculation puts the total energy at -1.4367 eV per atom. As for the energy relative to the elements: -0.160 eV/atom.



Entry 2:
Here is a relaxed SrMgCd2 crystal from the Alexandria database. Energies are from GGA-PBE.

```
data_SrMgCd2
_chemical_formula_sum 'Sr2 Mg2 Cd4'
_cell_length_a 8.570
_cell_length_b 4.949
_cell_length_c 6.261
_cell_angle_alpha 90.00
_cell_angle_beta 117.03
_cell_angle_gamma 90.00
_symmetry_space_group_name_H-M 'C 1 m 1'
_symmetry_Int_Tables_number 8
_symmetry_space_group_name_Hall 'C -2y'
loop_
_atom_site_label
_atom_site_fract_x
_atom_site_fract_y
_atom_site_fract_z
_atom_site_occupancy
Sr1 0.000 0.000 0.000 1
Mg1 0.296 0.500 0.388 1
Cd1 0.209 0.000 0.626 1
Cd2 0.497 0.000 0.491 1
```

The magnetic moment is 0.0 μB per formula unit. The calculation puts the total energy at -1.4461 eV per atom. As for the energy relative to the elements: -0.169 eV/atom.



Entry 3:
Here is a relaxed Sr2Mg2Cd3 crystal from the Alexandria database. Energies are from GGA-PBE.

```
data_Sr2Mg2Cd3
_chemical_formula_sum 'Sr4 Mg4 Cd6'
_cell_length_a 11.975
_cell_length_b 4.962
_cell_length_c 7.784
_cell_angle_alpha 90.00
_cell_angle_beta 117.28
_cell_angle_gamma 90.00
_symmetry_space_group_name_H-M 'C 1 2/m 1'
_symmetry_Int_Tables_number 12
_symmetry_space_group_name_Hall '-C 2y'
loop_
_atom_site_label
_atom_site_fract_x
_atom_site_fract_y
_atom_site_fract_z
_atom_site_occupancy
Sr1 0.154 0.000 0.264 1
Mg1 0.133 0.000 0.730 1
Cd1 0.000 0.500 0.500 1
Cd2 0.101 0.500 0.929 1
```

The magnetic moment is 0.0 μB per formula unit. The calculation puts the total energy at -1.5350 eV per atom. As for the energy relative to the elements: -0.207 eV/atom.



Entry 4:
Here is a relaxed SrMg5Cd2 crystal from the Alexandria database. Energies are from GGA-PBE.

```
data_SrMg5Cd2
_chemical_formula_sum 'Sr2 Mg10 Cd4'
_cell_length_a 4.491
_cell_length_b 8.581
_cell_length_c 10.970
_cell_angle_alpha 90.00
_cell_angle_beta 90.00
_cell_angle_gamma 90.00
_symmetry_space_group_name_H-M 'I m m m'
_symmetry_Int_Tables_number 71
_symmetry_space_group_name_Hall '-I 2 2'
loop_
_atom_site_label
_atom_site_fract_x
_atom_site_fract_y
_atom_site_fract_z
_atom_site_occupancy
Sr1 0.000 0.000 0.000 1
Mg1 0.000 0.185 0.350 1
Mg2 0.000 0.500 0.000 1
Cd1 0.000 0.500 0.262 1
```

The magnetic moment is 0.0 μB per formula unit. The calculation puts the total energy at -1.5585 eV per atom. As for the energy relative to the elements: -0.123 eV/atom.



Entry 5:
Here is a relaxed Sr2Mg6Cd crystal from the Alexandria database. Energies are from GGA-PBE.

```
data_Sr2Mg6Cd
_chemical_formula_sum 'Sr4 Mg12 Cd2'
_cell_length_a 10.820
_cell_length_b 6.757
_cell_length_c 7.111
_cell_angle_alpha 90.00
_cell_angle_beta 97.09
_cell_angle_gamma 90.00
_symmetry_space_group_name_H-M 'C 1 2/m 1'
_symmetry_Int_Tables_number 12
_symmetry_space_group_name_Hall '-C 2y'
loop_
_atom_site_label
_atom_site_fract_x
_atom_site_fract_y
_atom_site_fract_z
_atom_site_occupancy
Sr1 0.162 0.000 0.375 1
Mg1 0.110 0.232 0.855 1
Mg2 0.140 0.500 0.185 1
Cd1 0.000 0.500 0.500 1
```

The magnetic moment is 0.0 μB per formula unit. The calculation puts the total energy at -1.6271 eV per atom. As for the energy relative to the elements: -0.089 eV/atom.



Entry 6:
Here is a relaxed Sr2MgCd2 crystal from the Alexandria database. Energies are from GGA-PBE.

```
data_Sr2MgCd2
_chemical_formula_sum 'Sr4 Mg2 Cd4'
_cell_length_a 4.275
_cell_length_b 4.275
_cell_length_c 19.589
_cell_angle_alpha 90.00
_cell_angle_beta 90.00
_cell_angle_gamma 90.00
_symmetry_space_group_name_H-M 'I 4/m m m'
_symmetry_Int_Tables_number 139
_symmetry_space_group_name_Hall '-I 4 2'
loop_
_atom_site_label
_atom_site_fract_x
_atom_site_fract_y
_atom_site_fract_z
_atom_site_occupancy
Sr1 0.000 0.000 0.107 1
Mg1 0.000 0.000 0.500 1
Cd1 0.000 0.500 0.250 1
```

The magnetic moment is 0.0 μB per formula unit. The calculation puts the total energy at -1.4229 eV per atom. As for the energy relative to the elements: -0.065 eV/atom. As for the excess energy over the best structure of this formula in the dataset: 0.195 eV per atom.



Entry 7:
Here is a relaxed SrMgCd crystal from the Alexandria database. Energies are from GGA-PBE.

```
data_SrMgCd
_chemical_formula_sum 'Sr4 Mg4 Cd4'
_cell_length_a 7.776
_cell_length_b 7.776
_cell_length_c 7.776
_cell_angle_alpha 90.00
_cell_angle_beta 90.00
_cell_angle_gamma 90.00
_symmetry_space_group_name_H-M 'F -4 3 m'
_symmetry_Int_Tables_number 216
_symmetry_space_group_name_Hall 'F -4 2 3'
loop_
_atom_site_label
_atom_site_fract_x
_atom_site_fract_y
_atom_site_fract_z
_atom_site_occupancy
Sr1 0.000 0.000 0.000 1
Mg1 0.250 0.250 0.250 1
Cd1 0.250 0.250 0.750 1
```

The magnetic moment is 0.0 μB per formula unit. The calculation puts the total energy at -1.1306 eV per atom. As for the energy relative to the elements: 0.267 eV/atom.



Entry 8:
Here is a relaxed Sr3Mg2Cd7 crystal from the Alexandria database. Energies are from GGA-PBE.

```
data_Sr3Mg2Cd7
_chemical_formula_sum 'Sr9 Mg6 Cd21'
_cell_length_a 6.2234
_cell_length_b 6.2234
_cell_length_c 29.1190
_cell_angle_alpha 90.00
_cell_angle_beta 90.00
_cell_angle_gamma 120.00
_symmetry_space_group_name_H-M 'R -3 m'
_symmetry_Int_Tables_number 166
_symmetry_space_group_name_Hall '-R 3 2"'
loop_
_atom_site_label
_atom_site_fract_x
_atom_site_fract_y
_atom_site_fract_z
_atom_site_occupancy
Sr1 0.0000 0.0000 0.0000 1
Sr2 0.0000 0.0000 0.1417 1
Mg1 0.0000 0.0000 0.3340 1
Cd1 0.0000 0.0000 0.5000 1
Cd2 0.0053 0.5026 0.9176 1
```

The magnetic moment is 0.0 μB per formula unit. The calculation puts the total energy at -1.4805 eV per atom. As for the energy relative to the elements: -0.260 eV/atom.



Entry 9:
Here is a relaxed SrMg6Cd6 crystal from the Alexandria database. Energies are from GGA-PBE.

```
data_SrMg6Cd6
_chemical_formula_sum 'Sr2 Mg12 Cd12'
_cell_length_a 5.926
_cell_length_b 10.151
_cell_length_c 10.232
_cell_angle_alpha 90.00
_cell_angle_beta 90.00
_cell_angle_gamma 90.00
_symmetry_space_group_name_H-M 'I m m m'
_symmetry_Int_Tables_number 71
_symmetry_space_group_name_Hall '-I 2 2'
loop_
_atom_site_label
_atom_site_fract_x
_atom_site_fract_y
_atom_site_fract_z
_atom_site_occupancy
Sr1 0.000 0.000 0.000 1
Mg1 0.000 0.000 0.353 1
Mg2 0.000 0.354 0.000 1
Mg3 0.000 0.500 0.288 1
Cd1 0.000 0.284 0.500 1
Cd2 0.250 0.250 0.250 1
```

The magnetic moment is 0.0 μB per formula unit. The calculation puts the total energy at -1.4359 eV per atom. As for the energy relative to the elements: -0.148 eV/atom. As for the excess energy over the best structure of this formula in the dataset: 0.000 eV per atom.



Entry 10:
Here is a relaxed Sr2MgCd8 crystal from the Alexandria database. Energies are from GGA-PBE.

```
data_Sr2MgCd8
_chemical_formula_sum 'Sr4 Mg2 Cd16'
_cell_length_a 6.200
_cell_length_b 19.028
_cell_length_c 5.646
_cell_angle_alpha 90.00
_cell_angle_beta 118.80
_cell_angle_gamma 90.00
_symmetry_space_group_name_H-M 'C 1 2/m 1'
_symmetry_Int_Tables_number 12
_symmetry_space_group_name_Hall '-C 2y'
loop_
_atom_site_label
_atom_site_fract_x
_atom_site_fract_y
_atom_site_fract_z
_atom_site_occupancy
Sr1 0.000 0.155 0.000 1
Mg1 0.000 0.000 0.500 1
Cd1 0.000 0.249 0.500 1
Cd2 0.145 0.376 0.303 1
Cd3 0.189 0.500 0.831 1
```

The magnetic moment is 0.0 μB per formula unit. The calculation puts the total energy at -1.2924 eV per atom. As for the energy relative to the elements: -0.176 eV/atom.



Entry 11:
Here is a relaxed Sr6Mg15Cd8 crystal from the Alexandria database. Energies are from GGA-PBE.

```
data_Sr6Mg15Cd8
_chemical_formula_sum 'Sr24 Mg60 Cd32'
_cell_length_a 14.770
_cell_length_b 14.770
_cell_length_c 14.770
_cell_angle_alpha 90.00
_cell_angle_beta 90.00
_cell_angle_gamma 90.00
_symmetry_space_group_name_H-M 'F m -3 m'
_symmetry_Int_Tables_number 225
_symmetry_space_group_name_Hall '-F 4 2 3'
loop_
_atom_site_label
_atom_site_fract_x
_atom_site_fract_y
_atom_site_fract_z
_atom_site_occupancy
Sr1 0.000 0.000 0.221 1
Mg1 0.000 0.000 0.500 1
Mg2 0.000 0.250 0.250 1
Mg3 0.173 0.173 0.173 1
Cd1 0.125 0.125 0.375 1
```

The magnetic moment is 0.0 μB per formula unit. The calculation puts the total energy at -1.5873 eV per atom. As for the energy relative to the elements: -0.162 eV/atom.



Entry 12:
Here is a relaxed SrMgCd2 crystal from the Alexandria database. Energies are from GGA-PBE.

```
data_SrMgCd2
_chemical_formula_sum 'Sr1 Mg1 Cd2'
_cell_length_a 4.919
_cell_length_b 4.919
_cell_length_c 4.722
_cell_angle_alpha 90.00
_cell_angle_beta 90.00
_cell_angle_gamma 90.00
_symmetry_space_group_name_H-M 'P 4/m m m'
_symmetry_Int_Tables_number 123
_symmetry_space_group_name_Hall '-P 4 2'
loop_
_atom_site_label
_atom_site_fract_x
_atom_site_fract_y
_atom_site_fract_z
_atom_site_occupancy
Sr1 0.000 0.000 0.000 1
Mg1 0.500 0.500 0.000 1
Cd1 0.000 0.500 0.500 1
```

The magnetic moment is 0.0 μB per formula unit. The calculation puts the total energy at -1.4306 eV per atom. As for the energy relative to the elements: -0.154 eV/atom.



What did the ninth record say?
Here is a relaxed SrMg6Cd6 crystal from the Alexandria database. Energies are from GGA-PBE.

```
data_SrMg6Cd6
_chemical_formula_sum 'Sr2 Mg12 Cd12'
_cell_length_a 5.926
_cell_length_b 10.151
_cell_length_c 10.232
_cell_angle_alpha 90.00
_cell_angle_beta 90.00
_cell_angle_gamma 90.00
_symmetry_space_group_name_H-M 'I m m m'
_symmetry_Int_Tables_number 71
_symmetry_space_group_name_Hall '-I 2 2'
loop_
_atom_site_label
_atom_site_fract_x
_atom_site_fract_y
_atom_site_fract_z
_atom_site_occupancy
Sr1 0.000 0.000 0.000 1
Mg1 0.000 0.000 0.353 1
Mg2 0.000 0.354 0.000 1
Mg3 0.000 0.500 0.288 1
Cd1 0.000 0.284 0.500 1
Cd2 0.250 0.250 0.250 1
```

The magnetic moment is 0.0 μB per formula unit. The calculation puts the total energy at -1.4359 eV per atom. As for the energy relative to the elements: -0.148 eV/atom. As for the excess energy over the best structure of this formula in the dataset: 0.000 eV per atom.



Question: magnetic moment of number 12 (SrMgCd2)?
Answer: 0.0 μB per formula unit